1.
K3Er3MnS8: optimized geometry, PBE.

Cell: 7.7691 7.7691 22.4825 Å, 90.00 90.00 120.00°
Space group R-3m (No. 166, hexagonal axes)
Unique sites:
K 0.0000 0.5000 0.0000 [9 per cell]
Er 0.0000 0.5000 0.5000 [9 per cell]
Mn 0.0000 0.0000 0.5000 [3 per cell]
S 0.0000 0.0000 0.2337 [6 per cell]
S 0.0324 0.5162 0.2280 [18 per cell]

Output
E_form (uncorrected) (meV/atom): -1561
Crystal system: trigonal



2.
Zr12TlCd3: optimized geometry, PBE.

Cell: 4.466 4.466 17.882 Å, 90.00 90.00 90.00°
Space group P4/mmm (No. 123)
Unique sites:
Zr 0.000 0.000 0.000 [1 per cell]
Zr 0.000 0.000 0.249 [2 per cell]
Zr 0.000 0.000 0.500 [1 per cell]
Zr 0.000 0.500 0.125 [4 per cell]
Zr 0.000 0.500 0.374 [4 per cell]
Tl 0.500 0.500 0.500 [1 per cell]
Cd 0.500 0.500 0.000 [1 per cell]
Cd 0.500 0.500 0.249 [2 per cell]

Output
Energy (eV/atom): -6.820
Crystal system: tetragonal



3.
Cs4RbNa: optimized geometry, PBE.

Cell: 13.418 13.418 13.418 Å, 90.00 90.00 90.00°
Space group F-43m (No. 216)
Unique sites:
Cs 0.124 0.124 0.124 [16 per cell]
Rb 0.000 0.000 0.500 [4 per cell]
Na 0.250 0.250 0.750 [4 per cell]

Output
Energy (eV/atom): -0.839
Crystal system: cubic



4.
TiNiAu3: optimized geometry, PBE.

Cell: 4.701 4.701 4.701 Å, 90.00 90.00 90.00°
Space group Pm-3m (No. 221)
Unique sites:
Ti 0.000 0.000 0.000 [1 per cell]
Ni 0.500 0.500 0.500 [1 per cell]
Au 0.000 0.500 0.500 [3 per cell]

Output
Energy (eV/atom): -4.008
Crystal system: cubic